Entry 1:
{
  "formula": "LiAl3Pt",
  "functional": "GGA-PBE",
  "state": "relaxed",
  "cell": [[4.796, 0.000, 0.000], [0.000, 4.796, 0.000], [0.000, 0.000, 4.796]],
  "species": ["Li", "Al", "Al", "Al", "Pt"],
  "fractional_positions": [[0.000, 0.000, 0.000], [0.000, 0.500, 0.500], [0.500, 0.000, 0.500], [0.500, 0.500, 0.000], [0.500, 0.500, 0.500]],
  "formation_energy_ev_per_atom": -0.184,
  "e_above_lowest_polymorph_ev_per_fu": 1.40,
  "vol_a3_per_cell": 110.3,
  "space_group": "Pm-3m, No. 221"
}

***

Entry 2:
{
  "formula": "Rb3CdH4",
  "functional": "GGA-PBE",
  "state": "relaxed",
  "cell": [[8.551, 0.000, 0.000], [0.000, 9.822, 0.000], [0.000, 0.000, 6.105]],
  "species": ["Rb", "Rb", "Rb", "Rb", "Rb", "Rb", "Cd", "Cd", "H", "H", "H", "H", "H", "H", "H", "H"],
  "fractional_positions": [[0.000, 0.098, 0.000], [0.238, 0.699, 0.989], [0.262, 0.301, 0.489], [0.500, 0.902, 0.500], [0.738, 0.301, 0.489], [0.762, 0.699, 0.989], [0.000, 0.915, 0.493], [0.500, 0.085, 0.993], [0.000, 0.111, 0.502], [0.000, 0.851, 0.777], [0.178, 0.870, 0.344], [0.322, 0.130, 0.844], [0.500, 0.149, 0.277], [0.500, 0.889, 0.002], [0.678, 0.130, 0.844], [0.822, 0.870, 0.344]],
  "e_tot_ha_per_atom": -0.082,
  "vol_a3_per_cell": 512.8,
  "space_group": "Pmn2_1, No. 31"
}

***

Entry 3:
{
  "formula": "LaPmNd",
  "functional": "GGA-PBE",
  "state": "relaxed",
  "cell": [[2.601, -7.854, 0.000], [2.601, 7.854, 0.000], [0.000, 0.000, 5.231]],
  "species": ["La", "La", "Pm", "Pm", "Nd", "Nd"],
  "fractional_positions": [[0.083, 0.917, 0.750], [0.917, 0.083, 0.250], [0.415, 0.585, 0.750], [0.585, 0.415, 0.250], [0.249, 0.751, 0.250], [0.751, 0.249, 0.750]],
  "formation_energy_ev_per_atom": 0.018,
  "e_above_lowest_polymorph_ev_per_fu": 0.01,
  "vol_a3_per_cell": 213.7,
  "space_group": "Cmcm, No. 63"
}

***

Entry 4:
{
  "formula": "Ba2SrO",
  "functional": "GGA-PBE",
  "state": "relaxed",
  "cell": [[-4.159, 4.159, 5.800], [4.159, -4.159, 5.800], [4.159, 4.159, -5.800]],
  "species": ["Ba", "Ba", "Ba", "Ba", "Sr", "Sr", "O", "O"],
  "fractional_positions": [[0.375, 0.169, 0.294], [0.831, 0.125, 0.206], [0.875, 0.081, 0.706], [0.919, 0.625, 0.794], [0.250, 0.750, 0.500], [0.500, 0.500, 0.000], [0.000, 0.000, 0.000], [0.750, 0.250, 0.500]],
  "formation_energy_uncorrected_ev_per_atom": -1.143,
  "vol_a3_per_cell": 401.3,
  "space_group": "I-42d, No. 122"
}

***

Entry 5:
{
  "formula": "BeFePd2",
  "functional": "GGA-PBE",
  "state": "relaxed",
  "cell": [[-1.885, 1.885, 8.171], [1.885, -1.885, 8.171], [1.885, 1.885, -8.171]],
  "species": ["Be", "Be", "Fe", "Fe", "Pd", "Pd", "Pd", "Pd"],
  "fractional_positions": [[0.000, 0.000, 0.000], [0.750, 0.250, 0.500], [0.250, 0.750, 0.500], [0.500, 0.500, 0.000], [0.114, 0.625, 0.989], [0.375, 0.364, 0.489], [0.636, 0.125, 0.011], [0.875, 0.886, 0.511]],
  "formation_energy_ev_per_atom": 0.252,
  "vol_a3_per_cell": 116.2,
  "space_group": "I-42d, No. 122"
}

***

Entry 6:
{
  "formula": "MgIn2Bi",
  "functional": "GGA-PBE",
  "state": "relaxed",
  "cell": [[-4.341, 4.341, 3.074], [4.341, -4.341, 3.074], [4.341, 4.341, -3.074]],
  "species": ["Mg", "Mg", "In", "In", "In", "In", "Bi", "Bi"],
  "fractional_positions": [[0.000, 0.000, 0.000], [0.750, 0.250, 0.500], [0.129, 0.125, 0.504], [0.375, 0.871, 0.996], [0.621, 0.625, 0.496], [0.875, 0.379, 0.004], [0.250, 0.750, 0.500], [0.500, 0.500, 0.000]],
  "formation_energy_ev_per_atom": 0.028,
  "e_above_lowest_polymorph_ev_per_fu": 0.27,
  "vol_a3_per_cell": 231.6,
  "space_group": "I-42d, No. 122"
}